# PBE Cd3FeIr, optimized geometry
data_Cd3FeIr
_symmetry_space_group_name_H-M 'P m -3 m'
_symmetry_Int_Tables_number 221
_symmetry_space_group_name_Hall '-P 4 2 3'
_cell_length_a 5.148
_cell_length_b 5.148
_cell_length_c 5.148
_cell_angle_alpha 90.00
_cell_angle_beta 90.00
_cell_angle_gamma 90.00
loop_
_atom_site_label
_atom_site_fract_x
_atom_site_fract_y
_atom_site_fract_z
Cd1 0.000 0.000 0.500
Fe1 0.500 0.500 0.500
Ir1 0.000 0.000 0.000
# Energy above the most stable polymorph in this dataset ... 0.0 meV/atom
# Formation enthalpy at 0 K ... 93 kJ per mole of atoms

# PBE LiBe2Ag, optimized geometry
data_LiBe2Ag
_symmetry_space_group_name_H-M 'R 3 m'
_symmetry_Int_Tables_number 160
_symmetry_space_group_name_Hall 'R 3 -2"'
_cell_length_a 2.6828
_cell_length_b 2.6828
_cell_length_c 24.8909
_cell_angle_alpha 90.00
_cell_angle_beta 90.00
_cell_angle_gamma 120.00
loop_
_atom_site_label
_atom_site_fract_x
_atom_site_fract_y
_atom_site_fract_z
Li1 0.0000 0.0000 0.0000
Be1 0.0000 0.0000 0.2469
Be2 0.0000 0.0000 0.5131
Ag1 0.0000 0.0000 0.7621
# Energy above the most stable polymorph in this dataset ... 206.4 meV/atom
# Formation enthalpy at 0 K ... 30 kJ per mole of atoms

# PBE La4DyMg2, optimized geometry
data_La4DyMg2
_symmetry_space_group_name_H-M 'R -3 m'
_symmetry_Int_Tables_number 166
_symmetry_space_group_name_Hall '-R 3 2"'
_cell_length_a 5.6392
_cell_length_b 5.6392
_cell_length_c 25.2387
_cell_angle_alpha 90.00
_cell_angle_beta 90.00
_cell_angle_gamma 120.00
loop_
_atom_site_label
_atom_site_fract_x
_atom_site_fract_y
_atom_site_fract_z
La1 0.0000 0.0000 0.0766
La2 0.0000 0.0000 0.3447
Dy1 0.0000 0.0000 0.5000
Mg1 0.0000 0.0000 0.2101
# Formation enthalpy at 0 K ... 0 kJ per mole of atoms

# PBE TbYErZn, optimized geometry
data_TbYErZn
_symmetry_space_group_name_H-M 'F -4 3 m'
_symmetry_Int_Tables_number 216
_symmetry_space_group_name_Hall 'F -4 2 3'
_cell_length_a 7.534
_cell_length_b 7.534
_cell_length_c 7.534
_cell_angle_alpha 90.00
_cell_angle_beta 90.00
_cell_angle_gamma 90.00
loop_
_atom_site_label
_atom_site_fract_x
_atom_site_fract_y
_atom_site_fract_z
Tb1 0.000 0.000 0.000
Y1 0.000 0.000 0.500
Er1 0.250 0.250 0.750
Zn1 0.250 0.250 0.250
# Energy above the most stable polymorph in this dataset ... 204.9 meV/atom
# Formation enthalpy at 0 K ... 4 kJ per mole of atoms

# PBE CsPbSe2Br, optimized geometry
data_CsPbSe2Br
_symmetry_space_group_name_H-M 'P 4/m m m'
_symmetry_Int_Tables_number 123
_symmetry_space_group_name_Hall '-P 4 2'
_cell_length_a 5.515
_cell_length_b 5.515
_cell_length_c 6.124
_cell_angle_alpha 90.00
_cell_angle_beta 90.00
_cell_angle_gamma 90.00
loop_
_atom_site_label
_atom_site_fract_x
_atom_site_fract_y
_atom_site_fract_z
Cs1 0.000 0.000 0.000
Pb1 0.500 0.500 0.500
Se1 0.000 0.500 0.500
Br1 0.500 0.500 0.000
# Energy above the most stable polymorph in this dataset ... 0.0 meV/atom
# Uncorrected formation energy ... -0.58 eV/atom

# PBE FeRu2Au, optimized geometry
data_FeRu2Au
_symmetry_space_group_name_H-M 'C 1 m 1'
_symmetry_Int_Tables_number 8
_symmetry_space_group_name_Hall 'C -2y'
_cell_length_a 9.000
_cell_length_b 2.775
_cell_length_c 4.756
_cell_angle_alpha 90.00
_cell_angle_beta 100.36
_cell_angle_gamma 90.00
loop_
_atom_site_label
_atom_site_fract_x
_atom_site_fract_y
_atom_site_fract_z
Fe1 0.000 0.000 0.000
Ru1 0.248 0.500 0.259
Ru2 0.491 0.000 0.453
Au1 0.248 0.000 0.757
# Energy above the most stable polymorph in this dataset ... 82.6 meV/atom
# Formation enthalpy at 0 K ... 27 kJ per mole of atoms

# PBE Os2IF, optimized geometry
data_Os2IF
_symmetry_space_group_name_H-M 'I -4 2 d'
_symmetry_Int_Tables_number 122
_symmetry_space_group_name_Hall 'I -4 2bw'
_cell_length_a 6.818
_cell_length_b 6.818
_cell_length_c 5.496
_cell_angle_alpha 90.00
_cell_angle_beta 90.00
_cell_angle_gamma 90.00
loop_
_atom_site_label
_atom_site_fract_x
_atom_site_fract_y
_atom_site_fract_z
Os1 0.210 0.250 0.125
I1 0.000 0.000 0.500
F1 0.000 0.000 0.000
# Energy above the most stable polymorph in this dataset ... 143.1 meV/atom
# Uncorrected formation energy ... 1.26 eV/atom